No. 1
## Ag2SnHg2 (PBE)

Data for a relaxed Ag2SnHg2 crystal.

Unit cell a=8.331 b=8.331 c=3.239 alpha=90.00 beta=90.00 gamma=90.00
Fractional coordinates of all 10 atoms:
Hg 0.868 0.632 0.000
Hg 0.632 0.132 0.000
Hg 0.132 0.368 0.000
Hg 0.368 0.868 0.000
Ag 0.167 0.667 0.500
Ag 0.333 0.167 0.500
Ag 0.833 0.333 0.500
Ag 0.667 0.833 0.500
Sn 0.500 0.500 0.000
Sn 0.000 0.000 0.000

Results
**DFT total energy**: -1.956 eV/atom
**SG**: P4/mbm (127)
**Magnetization**: 0.0 μB per cell



No. 2
## AgSnHg (PBE)

Data for a relaxed AgSnHg crystal.

Unit cell a=3.179 b=3.179 c=8.090 alpha=101.33 beta=101.33 gamma=90.00
Fractional coordinates of all 3 atoms:
Sn 0.138 0.138 0.276
Hg 0.945 0.945 0.891
Ag 0.767 0.767 0.533

Results
**DFT total energy**: -2.272 eV/atom
**SG**: I4mm (107)
**Magnetization**: 0.0 μB per cell



No. 3
## Ag6Sn2Hg (PBE)

Data for a relaxed Ag6Sn2Hg crystal.

Unit cell a=4.424 b=9.014 c=9.014 alpha=90.00 beta=90.00 gamma=90.00
Fractional coordinates of all 18 atoms:
Hg 0.500 0.500 0.000
Hg 0.000 0.000 0.500
Ag 0.500 0.162 0.994
Ag 0.500 0.162 0.662
Ag 0.000 0.338 0.494
Ag 0.000 0.338 0.162
Ag 0.000 0.994 0.838
Ag 0.000 0.662 0.838
Ag 0.500 0.494 0.662
Ag 0.500 0.838 0.006
Ag 0.500 0.506 0.338
Ag 0.000 0.006 0.162
Ag 0.500 0.838 0.338
Ag 0.000 0.662 0.506
Sn 0.500 0.822 0.678
Sn 0.000 0.322 0.822
Sn 0.500 0.178 0.322
Sn 0.000 0.678 0.178

Results
**DFT total energy**: -2.776 eV/atom
**SG**: P4_2/mnm (136)
**Magnetization**: 0.0 μB per cell



No. 4
## Ag2SnHg2 (PBE)

Data for a relaxed Ag2SnHg2 crystal.

Unit cell a=4.006 b=4.006 c=7.846 alpha=75.21 beta=75.21 gamma=90.00
Fractional coordinates of all 5 atoms:
Hg 0.396 0.396 0.208
Hg 0.604 0.604 0.792
Ag 0.250 0.750 0.500
Ag 0.750 0.250 0.500
Sn 0.000 0.000 0.000

Results
**DFT total energy**: -1.920 eV/atom
**SG**: I4/mmm (139)
**Magnetization**: 0.0 μB per cell



No. 5
## AgSnHg (PBE)

Data for a relaxed AgSnHg crystal.

Unit cell a=3.404 b=3.404 c=6.956 alpha=90.00 beta=90.00 gamma=120.00
Fractional coordinates of all 3 atoms:
Hg 0.000 0.000 0.984
Sn 0.667 0.333 0.349
Ag 0.333 0.667 0.667

Results
**DFT total energy**: -2.300 eV/atom
**SG**: P3m1 (156)
**Magnetization**: 0.0 μB per cell



No. 6
## AgSn2Hg2 (PBE)

Data for a relaxed AgSn2Hg2 crystal.

Unit cell a=7.363 b=7.363 c=4.851 alpha=90.00 beta=90.00 gamma=90.00
Fractional coordinates of all 10 atoms:
Sn 0.853 0.647 0.000
Sn 0.647 0.147 0.000
Sn 0.147 0.353 0.000
Sn 0.353 0.853 0.000
Ag 0.000 0.000 0.000
Ag 0.500 0.500 0.000
Hg 0.831 0.331 0.500
Hg 0.669 0.831 0.500
Hg 0.169 0.669 0.500
Hg 0.331 0.169 0.500

Results
**DFT total energy**: -2.185 eV/atom
**SG**: P4/mbm (127)
**Magnetization**: 0.0 μB per cell



Which formation energy from the elements belongs to each record? In order, 0.1060 0.1133 0.0480 0.1417 0.0849 0.1075 eV/atom.